[1]
Compound: DySi2PdAu
Source: OQMD
Functional: PBE
Structure: relaxed

```
5
Lattice="-2.0908 2.0908 5.0884 2.0908 -2.0908 5.0884 2.0908 2.0908 -5.0884" Properties=species:S:1:pos:R:3 pbc="T T T"
Au 0.0000 0.0000 5.0884
Dy 2.0908 0.0000 2.5442
Pd 0.0000 0.0000 0.0000
Si 0.0000 2.0908 1.3960
Si 0.0000 2.0908 3.6924
```

Output
The calculation puts the total energy at -0.407 Ry/atom.

=====

[2]
Compound: Tb2DyZn3PdAu2
Source: OQMD
Functional: PBE
Structure: relaxed

```
9
Lattice="-0.4403 -1.0189 3.7716 -0.2382 -7.1222 -1.9520 6.4774 3.1682 1.6121" Properties=species:S:1:pos:R:3 pbc="T T T"
Au 1.7873 -4.1953 1.1244
Au 4.0159 -0.7804 2.3071
Dy 3.7241 -2.3601 -0.2029
Pd 6.2341 -3.9508 -0.3396
Tb 2.3772 -5.8422 -1.3008
Tb 6.3805 0.2921 0.8238
Zn 1.2942 -1.4692 1.8033
Zn 4.4457 -5.2314 1.1548
Zn 6.0754 -2.7342 2.0197
```

Output
The calculation puts the energy of formation from the pure elements at -0.7067 eV per atom.

=====

[3]
Compound: Dy3Zn3Pd2Au
Source: OQMD
Functional: PBE
Structure: relaxed

```
9
Lattice="-3.5112 1.4863 -6.2898 4.8700 -5.5048 0.2811 -2.8236 -2.4471 0.9980" Properties=species:S:1:pos:R:3 pbc="T T T"
Au 0.0000 0.0000 0.0000
Dy -2.0735 0.8777 -3.7143
Dy 0.5564 -1.6454 -2.4603
Dy 2.8759 -3.2508 0.1660
Pd -2.1293 -2.0676 -3.6005
Pd 0.6645 -4.3980 -1.4102
Zn -2.3196 -0.8393 -1.1271
Zn -0.1527 -2.6467 0.5717
Zn -0.4043 -4.2031 -3.9562
```

Output
The calculation puts the energy of formation from the pure elements at -0.7302 eV per atom.

=====

[4]
Compound: PmDyAu
Source: OQMD
Functional: PBE
Structure: relaxed

```
3
Lattice="0.0000 3.4619 3.4619 3.4619 0.0000 3.4619 3.4619 3.4619 0.0000" Properties=species:S:1:pos:R:3 pbc="T T T"
Au 1.7310 1.7310 1.7310
Dy 0.0000 0.0000 0.0000
Pm 5.1929 5.1929 5.1929
```

Output
The calculation puts the energy of formation from the pure elements at 0.0794 eV per atom.

=====

[5]
Compound: PrDyAu2
Source: OQMD
Functional: PBE
Structure: relaxed

```
4
Lattice="-2.8265 -2.3023 -3.0158 -0.6302 -4.3634 3.9217 -3.3638 -1.7780 4.5100" Properties=species:S:1:pos:R:3 pbc="T T T"
Au -1.7670 -1.6951 -0.7611
Au -3.6485 -5.6102 7.7024
Dy -2.5455 -3.9142 5.3739
Pr -2.8534 -3.3656 1.5323
```

Output
The calculation puts the energy of formation from the pure elements at -0.8250 eV per atom.

=====

[6]
Compound: Pr2DySi4Au4
Source: OQMD
Functional: PBE
Structure: relaxed

```
11
Lattice="2.5386 7.3660 10.3071 -1.9939 10.2672 7.5860 -2.2212 -10.4254 -7.3018" Properties=species:S:1:pos:R:3 pbc="T T T"
Au 0.1365 4.4191 4.4842
Au 0.4082 13.2141 13.4088
Au 0.3807 5.6570 8.7952
Au -2.0572 1.5509 1.7961
Dy 0.0000 0.0000 0.0000
Pr 0.2389 1.0654 4.1360
Pr -1.9153 6.1424 6.4553
Si 0.2471 7.9983 8.1161
Si 0.2976 9.6350 9.7769
Si 0.3272 3.9249 7.0376
Si -2.0037 3.2829 3.5537
```

Output
The calculation puts the total energy at -0.381 Ry/atom.

=====

[7]
Compound: Pr2DyZn2Si4Au2
Source: OQMD
Functional: PBE
Structure: relaxed

```
11
Lattice="-3.1595 7.4917 10.0016 -8.3366 4.9485 8.4943 6.3877 -8.4363 -7.3598" Properties=species:S:1:pos:R:3 pbc="T T T"
Au -3.0613 4.5871 8.8431
Au -2.0471 -0.5831 2.2930
Dy 0.0000 0.0000 0.0000
Pr -0.0742 1.3546 4.0372
Pr -5.0342 2.6493 7.0990
Si -5.2140 5.6422 8.3888
Si -6.2821 6.7980 10.1072
Si -1.9235 3.3559 7.0126
Si -3.1849 0.6481 4.1236
Zn -2.8803 3.1169 4.6341
Zn -8.6158 9.3233 13.8618
```

Output
The calculation puts the total energy at -0.349 Ry/atom.

=====

[8]
Compound: Pr2DyZn2Si4Au2
Source: OQMD
Functional: PBE
Structure: relaxed

```
11
Lattice="-2.1127 2.1160 12.3785 2.1127 -2.1160 12.3785 2.1127 2.1160 -12.3785" Properties=species:S:1:pos:R:3 pbc="T T T"
Au 0.0000 0.0000 6.2142
Au 0.0000 0.0000 18.5426
Dy 0.0000 0.0000 0.0000
Pr 0.0000 2.1160 3.5646
Pr 2.1127 0.0000 8.8138
Si 0.0000 0.0000 11.2151
Si 0.0000 0.0000 13.5418
Si 0.0000 2.1160 7.6769
Si 2.1127 0.0000 4.7015
Zn 0.0000 2.1160 10.0768
Zn 2.1127 0.0000 2.3017
```

Output
The calculation puts the total energy at -0.345 Ry/atom.

=====

[9]
Compound: PrDyZn2Au4
Source: OQMD
Functional: PBE
Structure: relaxed

```
8
Lattice="4.9087 0.0000 0.0000 0.0000 4.9087 0.0000 0.0000 0.0000 6.9388" Properties=species:S:1:pos:R:3 pbc="T T T"
Au 2.4544 0.0000 1.6425
Au 0.0000 2.4544 1.6425
Au 2.4544 0.0000 5.2963
Au 0.0000 2.4544 5.2963
Dy 0.0000 0.0000 0.0000
Pr 2.4544 2.4544 3.4694
Zn 2.4544 2.4544 0.0000
Zn 0.0000 0.0000 3.4694
```

Output
The calculation puts the energy of formation from the pure elements at -0.6007 eV per atom.

=====

[10]
Compound: DyPtAu
Source: OQMD
Functional: PBE
Structure: relaxed

```
3
Lattice="2.2681 -1.8591 3.5640 -1.4219 0.8095 4.3158 -1.9462 -3.3846 2.4617" Properties=species:S:1:pos:R:3 pbc="T T T"
Au -0.2750 -1.1085 2.5854
Dy -0.8250 -3.3256 7.7561
Pt 0.0000 0.0000 0.0000
```

Output
The calculation puts the energy of formation from the pure elements at -0.8456 eV per atom.

=====

[11]
Compound: DyPt4Au2
Source: OQMD
Functional: PBE
Structure: relaxed

```
7
Lattice="-0.5696 -0.1801 -2.8479 -2.1799 -0.0627 1.9266 -1.2195 16.9552 -0.8282" Properties=species:S:1:pos:R:3 pbc="T T T"
Au -1.8885 3.3093 0.1685
Au -2.0805 13.4032 -1.9180
Dy -0.6097 8.4776 -0.4141
Pt -1.1858 0.9632 -1.3104
Pt -2.0850 6.0413 0.0350
Pt -1.8840 10.6712 -1.7845
Pt -2.7832 15.7493 -0.4392
```

Output
The calculation puts the energy of formation from the pure elements at 0.0176 eV per atom.

=====

[12]
Compound: DyPt2Au2
Source: OQMD
Functional: PBE
Structure: relaxed

```
10
Lattice="-1.6449 -0.3369 3.7370 3.5431 -1.4824 1.4260 3.5562 10.9551 2.5529" Properties=species:S:1:pos:R:3 pbc="T T T"
Au 0.0000 0.0000 0.0000
Au 0.9491 -0.9097 2.5815
Au 0.4436 3.7318 2.7774
Au 4.0617 6.3137 2.3570
Dy 2.6737 2.0377 1.3606
Dy 1.8316 8.0078 3.7738
Pt -0.3020 1.4351 2.2422
Pt 1.7781 5.4776 1.2764
Pt 2.7272 4.5679 3.8580
Pt 4.8072 8.6104 2.8922
```

Output
The calculation puts the energy of formation from the pure elements at -0.4338 eV per atom.

=====

[13]
Compound: DyPt4Au
Source: OQMD
Functional: PBE
Structure: relaxed

```
6
Lattice="-2.8591 -4.1352 1.7945 -3.2749 0.6278 4.1683 -5.2880 -0.1022 -0.7213" Properties=species:S:1:pos:R:3 pbc="T T T"
Au 0.0000 0.0000 0.0000
Dy -8.5665 -2.7071 3.9312
Pt -5.7128 -3.4265 2.8636
Pt -5.9214 -1.0371 4.0545
Pt -4.2785 -1.3521 1.9634
Pt -6.9313 -1.4033 1.6016
```

Output
The calculation puts the energy of formation from the pure elements at -0.7252 eV per atom.

=====

[14]
Compound: Tb2DyTl3PtAu2
Source: OQMD
Functional: PBE
Structure: relaxed

```
9
Lattice="-3.7717 0.9810 0.4754 -2.1178 -7.3644 -1.6042 1.4833 2.1220 7.3885" Properties=species:S:1:pos:R:3 pbc="T T T"
Au -2.8011 -3.7052 1.6345
Au -1.6047 -0.5534 4.6222
Dy -0.2526 -2.0872 2.3030
Pt -0.0004 -0.0034 0.0037
Tb -1.2737 -4.4293 -0.9648
Tb 0.8921 1.2763 4.4437
Tl -2.4405 -1.4383 -0.1824
Tl -1.4973 1.0463 2.1729
Tl -2.3543 -3.3806 4.5090
```

Output
The calculation puts the total energy at -0.321 Ry/atom.

=====

[15]
Compound: TbDy2Tl3PtAu2
Source: OQMD
Functional: PBE
Structure: relaxed

```
9
Lattice="3.9195 0.0000 0.0000 0.0000 6.7789 3.9114 0.0000 -6.7789 3.9114" Properties=species:S:1:pos:R:3 pbc="T T T"
Au 1.9597 2.2669 3.9133
Au 1.9597 -2.2669 3.9133
Dy 0.0000 4.0798 2.3540
Dy 0.0000 -4.0798 2.3540
Pt 0.0000 0.0000 7.8177
Tb 0.0000 0.0000 3.1178
Tl 1.9597 1.7756 1.0245
Tl 1.9597 -1.7756 1.0245
Tl 1.9597 0.0000 5.7712
```

Output
The calculation puts the total energy at -0.321 Ry/atom.

=====

[16]
Compound: Dy3Zn3PtAu2
Source: OQMD
Functional: PBE
Structure: relaxed

```
9
Lattice="7.3906 0.0000 0.0000 -3.6953 6.4005 0.0000 0.0000 0.0000 3.9181" Properties=species:S:1:pos:R:3 pbc="T T T"
Au 3.6953 2.1335 1.9591
Au 0.0000 4.2670 1.9591
Dy 4.4673 0.0000 0.0000
Dy 1.4616 2.5316 0.0000
Dy -2.2337 3.8688 0.0000
Pt 0.0000 0.0000 0.0000
Zn 1.8204 0.0000 1.9591
Zn -0.9102 1.5765 1.9591
Zn 2.7851 4.8239 1.9591
```

Output
The calculation puts the energy of formation from the pure elements at -0.7732 eV per atom.

=====

[17]
Compound: DyPuAu
Source: OQMD
Functional: PBE
Structure: relaxed

```
3
Lattice="-0.3163 -3.7423 2.8571 -3.7362 -2.8694 -0.2750 0.4927 -4.3540 -1.7516" Properties=species:S:1:pos:R:3 pbc="T T T"
Au -0.8899 -2.7414 0.2076
Dy 0.0000 0.0000 0.0000
Pu -2.6698 -8.2243 0.6228
```

Output
The calculation puts the energy of formation from the pure elements at 0.1915 eV per atom.

=====

[18]
Compound: Dy3AuS
Source: OQMD
Functional: PBE
Structure: relaxed

```
5
Lattice="-1.5505 2.8053 3.9735 -4.8637 -0.9401 -1.2341 0.0536 -4.1604 2.9581" Properties=species:S:1:pos:R:3 pbc="T T T"
Au 0.0000 0.0000 0.0000
Dy -3.2071 0.9326 1.3697
Dy -0.7484 -0.6776 3.4658
Dy -2.4051 -2.5503 0.8620
S -3.1803 -1.1476 2.8488
```

Output
The calculation puts the total energy at -0.368 Ry/atom.

=====

[19]
Compound: DyAuS2
Source: OQMD
Functional: PBE
Structure: relaxed

```
4
Lattice="4.0953 0.0000 0.0000 -2.0476 3.5466 0.0000 0.0000 0.0000 6.3399" Properties=species:S:1:pos:R:3 pbc="T T T"
Au 0.0000 0.0000 3.7868
Dy 2.0476 1.1822 6.3067
S 0.0000 0.0000 1.3277
S 0.0000 2.3644 4.7910
```

Output
The calculation puts the total energy at -0.384 Ry/atom.

=====

[20]
Compound: DyAuS2
Source: OQMD
Functional: PBE
Structure: relaxed

```
16
Lattice="-0.9835 -6.4149 11.4031 1.9467 -3.2428 -1.6564 6.3038 2.7238 2.0760" Properties=species:S:1:pos:R:3 pbc="T T T"
Au 0.2377 -3.2842 4.1358
Au 2.6189 -5.2502 10.7834
Au 4.6481 -1.6837 1.0392
Au 7.0293 -3.6497 7.6869
Dy 0.4284 -1.7021 1.2625
Dy 2.9206 -3.6202 7.9467
Dy 4.3464 -3.3137 3.8759
Dy 6.8385 -5.2318 10.5601
S 0.6310 -6.4460 10.7882
S 2.3426 -6.2597 7.2885
S 2.8389 -3.0503 1.5885
S 2.1150 -2.8098 5.4134
S 5.1520 -4.1241 6.4092
S 4.4281 -3.8836 10.2342
S 4.9243 -0.6742 4.5341
S 6.6360 -0.4879 1.0345
```

Output
The calculation puts the total energy at -0.392 Ry/atom.